VASP calculation (SCAN) on a PBEsol-optimized structure of LiNbNiO4.

Structure (extended XYZ):
```
28
Lattice="-2.741 4.451 2.804 -4.427 -0.243 -3.941 -4.055 -5.582 4.898" Properties=species:S:1:pos:R:3 pbc="T T T"
Li -1.070 -0.059 -0.952
Li -5.384 -2.975 -0.540
Li -1.676 -0.320 1.902
Li -5.119 -0.811 5.800
Nb -4.355 -2.420 2.773
Nb -7.546 -3.935 2.058
Nb -4.690 1.166 2.928
Nb -5.854 2.442 -0.236
Ni -3.900 -0.424 -0.057
Ni -2.457 2.166 0.434
Ni -6.738 -0.749 0.878
Ni -7.322 -0.950 3.819
O -2.198 -1.440 0.245
O -4.303 -1.518 -1.688
O -4.789 -4.412 5.574
O -7.140 -1.898 -0.715
O -2.931 0.976 -1.157
O -4.945 -1.700 1.121
O -3.466 0.790 1.528
O -5.683 0.553 -0.263
O -5.627 -2.047 4.129
O -7.669 -2.044 2.128
O -6.351 0.321 2.575
O -8.217 -2.346 4.984
O -2.083 3.276 2.061
O -8.433 0.285 0.602
O -6.891 0.183 5.416
O -9.052 0.027 3.551
```

Summary:
E_form (uncorrected) = -2264 meV/atom
crystal system = tetragonal
distance to the lowest polymorph of the same formula = 0.000 eV per atom
calculated density = 4.96 Mg/m³
V = 10.63 Å³ per atom
N(E_F) = 0.00 states/eV/cell